No. 1
KCoW, relaxed, DFT GGA-PBEsol; energy = -5.74 eV per atom; V = 17.3 Å³/atom; SG = No. 156; relative energy among the computed polymorphs = 0.00 eV per formula unit
1.0
-0.988 -2.223 0.823
4.405 -1.475 1.304
-2.771 2.395 3.142
Co K W
1 1 1
direct
0.032 0.000 0.000
0.659 0.333 0.667
0.309 0.667 0.333

***

No. 2
KCoW, relaxed, DFT GGA-PBEsol; energy = -5.24 eV per atom; V = 18.4 Å³/atom; SG = No. 216; relative energy among the computed polymorphs = 1.49 eV per formula unit
1.0
-2.783 -3.053 -1.101
1.161 -3.060 -2.751
0.569 -4.008 1.376
Co K W
1 1 1
direct
0.000 0.000 0.000
0.500 0.500 0.500
0.250 0.250 0.250

***

No. 3
KCoW2, relaxed, DFT GGA-PBEsol; energy = -7.50 eV per atom; V = 16.9 Å³/atom; SG = No. 47; relative energy among the computed polymorphs = 2.78 eV per formula unit
1.0
-0.829 -2.601 -0.650
3.543 -0.381 -2.993
2.988 -1.897 3.779
Co K W
1 1 2
direct
0.500 0.000 0.500
0.000 0.500 0.500
0.000 0.000 0.000
0.500 0.500 0.000

***

No. 4
KCoW2, relaxed, DFT GGA-PBEsol; energy = -7.58 eV per atom; V = 16.9 Å³/atom; SG = No. 12; relative energy among the computed polymorphs = 2.46 eV per formula unit
1.0
-1.685 1.866 0.664
-0.556 -3.030 4.085
4.885 3.128 0.027
Co K W
1 1 2
direct
0.500 0.000 0.000
0.000 0.500 0.000
0.000 0.000 0.500
0.500 0.500 0.500

***

No. 5
KCoW2, relaxed, DFT GGA-PBEsol; energy = -8.20 eV per atom; V = 19.8 Å³/atom; SG = No. 6; relative energy among the computed polymorphs = 0.00 eV per formula unit
1.0
-1.749 0.693 -1.972
-1.362 -3.195 0.085
-5.438 2.474 5.843
Co K W
1 1 2
direct
0.994 0.000 0.409
0.512 0.500 0.722
0.011 0.000 0.086
0.482 0.500 0.282

***

No. 6
KYCo2, relaxed, DFT GGA-PBEsol; energy = -5.31 eV per atom; V = 24.7 Å³/atom; SG = No. 123; relative energy among the computed polymorphs = 0.00 eV per formula unit
1.0
-3.286 -0.743 1.431
1.606 -1.286 3.022
-0.224 6.758 2.995
Co K Y
2 1 1
direct
0.000 0.000 0.646
0.000 0.000 0.354
0.500 0.500 0.000
0.500 0.500 0.500

***

No. 7
KYCo2, relaxed, DFT GGA-PBEsol; energy = -4.88 eV per atom; V = 19.8 Å³/atom; SG = No. 225; relative energy among the computed polymorphs = 1.71 eV per formula unit
1.0
-3.984 -1.745 -2.063
-1.118 -4.660 0.484
-3.749 -1.306 2.728
Co K Y
2 1 1
direct
0.251 0.749 0.749
0.749 0.251 0.251
0.500 0.000 0.000
0.000 0.500 0.500

***

No. 8
KY2Co, relaxed, DFT GGA-PBEsol; energy = -5.36 eV per atom; V = 32.1 Å³/atom; SG = No. 99
1.0
3.761 0.000 0.000
0.000 3.761 0.000
0.000 0.000 9.079
Co K Y
1 1 2
direct
0.000 0.000 0.359
0.500 0.500 0.721
0.000 0.000 0.086
0.500 0.500 0.334

***

No. 9
K2YCo, relaxed, DFT GGA-PBEsol; energy = -3.21 eV per atom; V = 27.7 Å³/atom; SG = No. 216; relative energy among the computed polymorphs = 0.00 eV per formula unit
1.0
-4.375 -0.708 -3.064
-4.530 -1.939 2.179
-4.278 3.215 0.629
Co K Y
1 2 1
direct
0.250 0.250 0.250
0.000 0.000 0.000
0.750 0.750 0.750
0.500 0.500 0.500

***

No. 10
K2YCo, relaxed, DFT GGA-PBEsol; energy = -3.07 eV per atom; V = 32.7 Å³/atom; SG = No. 123; relative energy among the computed polymorphs = 0.56 eV per formula unit
1.0
4.699 0.000 0.000
0.000 4.699 0.000
0.000 0.000 5.925
Co K Y
1 2 1
direct
0.500 0.500 0.500
0.000 0.000 0.731
0.000 0.000 0.269
0.500 0.500 0.000

***

No. 11
K2YCo, relaxed, DFT GGA-PBEsol; energy = -3.14 eV per atom; V = 31.6 Å³/atom; SG = No. 123; relative energy among the computed polymorphs = 0.31 eV per formula unit
1.0
3.240 0.000 0.000
0.000 3.240 0.000
0.000 0.000 12.028
Co K Y
1 2 1
direct
0.500 0.500 0.500
0.000 0.000 0.700
0.000 0.000 0.300
0.500 0.500 0.000

***

No. 12
K3ZnCo, relaxed, DFT GGA-PBEsol; energy = -1.61 eV per atom; V = 44.3 Å³/atom; SG = No. 221
1.0
-4.609 -2.937 2.600
3.774 -4.413 1.705
1.068 2.920 5.192
Zn Co K
1 1 3
direct
0.500 0.500 0.500
0.000 0.000 0.000
0.000 0.500 0.000
0.000 0.000 0.500
0.500 0.000 0.000

***

One value per record, in order, for DOS at the Fermi energy: 2.821 3.616 5.422 4.228 4.383 3.645 8.957 3.424 4.479 6.626 5.858 7.053 states/eV per cell.